# 1
Compound: TbCePr
Source: Alexandria via LeMat-Bulk
Functional: PBE
Structure: relaxed

Calculated values
Energy of formation from the pure elements, eV/atom: 0.2422
Density of states at the Fermi level, states/eV/cell: 16.31
Space-group type: No. 51
Distance to the lowest polymorph of the same formula, meV/atom: 184.7

Cell: 3.406 8.797 6.540 Å, 90.00 90.00 90.00°
Positions (direct):
Tb1 0.000 0.500 0.000
Ce1 0.000 0.834 0.250
Tb2 0.000 0.500 0.500
Pr1 0.500 0.177 0.250
Ce2 0.000 0.166 0.750
Pr2 0.500 0.823 0.750

# 2
Compound: Tb2CePr
Source: Alexandria via LeMat-Bulk
Functional: PBE
Structure: relaxed

Calculated values
Energy of formation from the pure elements, eV/atom: 0.1144
Density of states at the Fermi level, states/eV/cell: 14.87
Space-group type: No. 12
Distance to the lowest polymorph of the same formula, meV/atom: 54.4

Cell: 3.452 6.511 11.711 Å, 86.05 98.48 90.00°
Positions (direct):
Ce1 0.499 0.208 0.998
Tb1 0.879 0.032 0.758
Tb2 0.121 0.968 0.242
Ce2 0.501 0.792 0.002
Tb3 0.377 0.532 0.754
Pr1 0.250 0.256 0.499
Pr2 0.750 0.744 0.501
Tb4 0.623 0.468 0.246

# 3
Compound: Tb6CePr8
Source: Alexandria via LeMat-Bulk
Functional: PBE
Structure: relaxed

Calculated values
Energy of formation from the pure elements, eV/atom: 0.1255
Density of states at the Fermi level, states/eV/cell: 25.64
Space-group type: No. 148

Cell: 8.805 8.805 8.805 Å, 63.08 63.08 63.08°
Positions (direct):
Pr1 0.758 0.115 0.714
Pr2 0.885 0.286 0.242
Pr3 0.422 0.422 0.422
Tb1 0.461 0.753 0.904
Tb2 0.904 0.461 0.753
Pr4 0.286 0.242 0.885
Pr5 0.714 0.758 0.115
Pr6 0.578 0.578 0.578
Tb3 0.539 0.247 0.096
Ce1 0.000 0.000 0.000
Tb4 0.247 0.096 0.539
Tb5 0.096 0.539 0.247
Pr7 0.115 0.714 0.758
Pr8 0.242 0.885 0.286
Tb6 0.753 0.904 0.461

# 4
Compound: TbCePr2
Source: Alexandria via LeMat-Bulk
Functional: PBE
Structure: relaxed

Calculated values
Energy of formation from the pure elements, eV/atom: 0.0728
Density of states at the Fermi level, states/eV/cell: 7.81
Space-group type: No. 160
Distance to the lowest polymorph of the same formula, meV/atom: 2.7

Cell: 3.621 3.621 12.012 Å, 81.33 81.33 60.00°
Positions (direct):
Pr1 0.250 0.250 0.251
Pr2 0.083 0.083 0.750
Tb1 0.667 0.667 0.999
Ce1 0.500 0.500 0.500

# 5
Compound: TbCePr2
Source: Alexandria via LeMat-Bulk
Functional: PBE
Structure: relaxed

Calculated values
Energy of formation from the pure elements, eV/atom: 0.0701
Density of states at the Fermi level, states/eV/cell: 8.38
Space-group type: No. 123
Distance to the lowest polymorph of the same formula, meV/atom: 0.0

Cell: 3.598 3.598 10.323 Å, 90.00 90.00 90.00°
Positions (direct):
Pr1 0.000 0.000 0.744
Pr2 0.000 0.000 0.256
Tb1 0.500 0.500 0.000
Ce1 0.500 0.500 0.500

# 6
Compound: Tb4CePr3
Source: Alexandria via LeMat-Bulk
Functional: PBE
Structure: relaxed

Calculated values
Energy of formation from the pure elements, eV/atom: 0.2356
Density of states at the Fermi level, states/eV/cell: 14.64
Space-group type: No. 12

Cell: 3.445 6.141 12.919 Å, 94.99 97.66 90.00°
Positions (direct):
Pr1 0.000 0.500 0.000
Ce1 0.500 0.000 0.000
Tb1 0.279 0.762 0.558
Tb2 0.721 0.238 0.442
Tb3 0.106 0.222 0.211
Pr2 0.854 0.261 0.708
Pr3 0.146 0.739 0.292
Tb4 0.894 0.778 0.789

In order of appearance, magnetization = 1.1; 0.4; 1.0; 0.8; 0.7; 0.9 μB per formula unit.
In order of appearance, uncorrected energy = -4.8723; -4.8791; -4.6712; -4.9579; -4.9607; -4.6136 eV/atom.